Record 1
## HoNpSn (PBE-GGA)

Data for a geometry-optimized HoNpSn structure.

SG: F-43m, No. 216
Magnetic moment in Bohr magnetons per cell: 5.85
Density in g cm⁻³: 9.3

Cell lengths 5.0926, 5.0926, 5.0926 Å; angles 60.00, 60.00, 60.00 degrees
Closest atoms and distances in Å follow each position.
Sites, in units of the cell vectors:
Ho1 0.0000 0.0000 0.0000  4 Sn 3.12, 4 Np 3.12
Np1 0.7500 0.7500 0.7500  4 Ho 3.12
Sn1 0.2500 0.2500 0.2500  4 Ho 3.12

---

Record 2
## RbTaAuSe2S (PBE-GGA)

Data for a geometry-optimized RbTaAuSe2S structure.

SG: Cmcm, No. 63
Magnetic moment in Bohr magnetons per cell: 0.60
Density in g cm⁻³: 7.3

Cell lengths 8.1692, 8.1692, 9.9695 Å; angles 90.00, 90.00, 153.38 degrees
Closest atoms and distances in Å follow each position.
Sites, in units of the cell vectors:
Rb1 0.2489 0.7511 0.7500  6 Se 3.44-3.59, 2 S 3.57, 2 Au 3.70, 2 Rb 3.76
Rb2 0.7511 0.2489 0.2500  6 Se 3.44-3.59, 2 S 3.57, 2 Au 3.70, 2 Rb 3.76
Ta1 0.0000 0.0000 0.0000  2 S 2.67, 4 Se 2.68
Ta2 0.0000 0.0000 0.5000  2 S 2.67, 4 Se 2.68
Au1 0.4517 0.5483 0.2500  2 Se 2.52, 2 S 2.55
Au2 0.5483 0.4517 0.7500  2 Se 2.52, 2 S 2.55
Se1 0.3808 0.6192 0.0240  1 Au 2.52, 2 Ta 2.68
Se2 0.3808 0.6192 0.4760  1 Au 2.52, 2 Ta 2.68
Se3 0.6192 0.3808 0.5240  1 Au 2.52, 2 Ta 2.68
Se4 0.6192 0.3808 0.9760  1 Au 2.52, 2 Ta 2.68
S1 0.0604 0.9396 0.2500  2 Au 2.55, 2 Ta 2.67
S2 0.9396 0.0604 0.7500  2 Au 2.55, 2 Ta 2.67

---

Record 3
## SiTcNiAu (PBE-GGA)

Data for a geometry-optimized SiTcNiAu structure.

SG: F-43m, No. 216
Magnetic moment in Bohr magnetons per cell: 0.04
Density in g cm⁻³: 11.3

Cell lengths 4.2992, 4.2992, 4.2992 Å; angles 60.00, 60.00, 60.00 degrees
Closest atoms and distances in Å follow each position.
Sites, in units of the cell vectors:
Si1 0.0000 0.0000 0.0000  4 Tc 2.63, 4 Ni 2.63
Tc1 0.7500 0.7500 0.7500  4 Si 2.63, 4 Au 2.63
Ni1 0.2500 0.2500 0.2500  4 Si 2.63, 4 Au 2.63
Au1 0.5000 0.5000 0.5000  4 Tc 2.63, 4 Ni 2.63

---

Record 4
## TbHoLu (PBE-GGA)

Data for a geometry-optimized TbHoLu structure.

SG: F-43m, No. 216
ΔE to the lowest computed polymorph in kJ/mol of atoms: 0.00
ΔE_f in kJ per mole of atoms: 68.8
Magnetic moment in Bohr magnetons per cell: 0.00
Density in g cm⁻³: 7.7

Cell lengths 5.3452, 5.3452, 5.3452 Å; angles 60.00, 60.00, 60.00 degrees
Closest atoms and distances in Å follow each position.
Sites, in units of the cell vectors:
Tb1 0.0000 0.0000 0.0000  4 Lu 3.27
Ho1 0.5000 0.5000 0.5000  4 Lu 3.27
Lu1 0.7500 0.7500 0.7500  4 Ho 3.27, 4 Tb 3.27

---

Record 5
## Zr4AlCuN2 (PBE-GGA)

Data for a geometry-optimized Zr4AlCuN2 structure.

SG: P-6m2, No. 187
Magnetic moment in Bohr magnetons per cell: 0.00
Density in g cm⁻³: 6.2

Cell lengths 3.2640, 3.2640, 13.9445 Å; angles 90.00, 90.00, 120.00 degrees
Closest atoms and distances in Å follow each position.
Sites, in units of the cell vectors:
Zr1 0.0000 0.0000 0.1512  3 N 2.28
Zr2 0.0000 0.0000 0.8488  3 N 2.28
Zr3 0.3333 0.6667 0.3349  3 N 2.28
Zr4 0.3333 0.6667 0.6651  3 N 2.28
Al1 0.0000 0.0000 0.5000  6 Zr 2.98, 6 Al 3.26
Cu1 0.3333 0.6667 0.0000  6 Zr 2.83
N1 0.6667 0.3333 0.2428  6 Zr 2.28
N2 0.6667 0.3333 0.7572  6 Zr 2.28

---

Record 6
## PmPrS2 (PBE-GGA)

Data for a geometry-optimized PmPrS2 structure.

SG: P4/mmm, No. 123
Magnetic moment in Bohr magnetons per cell: 0.01
Density in g cm⁻³: 6.1

Cell lengths 4.0654, 4.0654, 5.7511 Å; angles 90.00, 90.00, 90.00 degrees
Closest atoms and distances in Å follow each position.
Sites, in units of the cell vectors:
Pm1 0.0000 0.0000 0.0000  6 S 2.87-2.88
Pr1 0.5000 0.5000 0.5000  6 S 2.87-2.88
S1 0.0000 0.0000 0.5000  4 Pr 2.87, 2 Pm 2.88
S2 0.5000 0.5000 0.0000  4 Pm 2.87, 2 Pr 2.88

---

Record 7
## Na2ReHgS4 (PBE-GGA)

Data for a geometry-optimized Na2ReHgS4 structure.

SG: I-4, No. 82
Magnetic moment in Bohr magnetons per cell: 1.00
Density in g cm⁻³: 4.2

Cell lengths 7.3165, 7.3165, 7.3165 Å; angles 129.99, 129.99, 73.43 degrees
Closest atoms and distances in Å follow each position.
Sites, in units of the cell vectors:
Na1 0.0000 0.0000 0.0000  4 S 2.86
Na2 0.7500 0.2500 0.5000  4 S 2.76
Re1 0.5000 0.5000 0.0000  4 S 2.22
Hg1 0.2500 0.7500 0.5000  4 S 2.78
S1 0.1823 0.5969 0.9975  1 Re 2.22
S2 0.4031 0.4006 0.5854  1 Re 2.22
S3 0.5994 0.1849 0.0025  1 Re 2.22
S4 0.8151 0.8177 0.4146  1 Re 2.22

---

Record 8
## Tb2GaCo2 (PBE-GGA)

Data for a geometry-optimized Tb2GaCo2 structure.

SG: C2/c, No. 15
Magnetic moment in Bohr magnetons per cell: 0.55
Density in g cm⁻³: 9.1

Cell lengths 5.3875, 5.3875, 7.5682 Å; angles 102.36, 102.36, 59.70 degrees
Closest atoms and distances in Å follow each position.
Sites, in units of the cell vectors:
Tb1 0.0050 0.7039 0.8545  6 Co 2.86-2.98, 2 Ga 3.11-3.19
Tb2 0.2961 0.9950 0.6455  6 Co 2.86-2.98, 2 Ga 3.11-3.19
Tb3 0.7039 0.0050 0.3545  6 Co 2.86-2.98, 2 Ga 3.11-3.19
Tb4 0.9950 0.2961 0.1455  6 Co 2.86-2.98, 2 Ga 3.11-3.19
Ga1 0.3682 0.6318 0.2500  4 Co 2.54-2.55
Ga2 0.6318 0.3682 0.7500  4 Co 2.54-2.55
Co1 0.2088 0.5039 0.4939  1 Co 2.29, 2 Ga 2.54-2.55
Co2 0.4961 0.7912 0.0061  1 Co 2.29, 2 Ga 2.54-2.55
Co3 0.5039 0.2088 0.9939  1 Co 2.29, 2 Ga 2.54-2.55
Co4 0.7912 0.4961 0.5061  1 Co 2.29, 2 Ga 2.54-2.55

---

Record 9
## GdMgAu (PBE-GGA)

Data for a geometry-optimized GdMgAu structure.

SG: P-62m, No. 189
Magnetic moment in Bohr magnetons per cell: 0.07
Density in g cm⁻³: 9.3

Cell lengths 7.1663, 7.1663, 4.5686 Å; angles 90.00, 90.00, 120.00 degrees
Closest atoms and distances in Å follow each position.
Sites, in units of the cell vectors:
Gd1 0.0000 0.5573 0.0000  5 Mg 3.11-3.17, 2 Au 3.18
Gd2 0.4427 0.4427 0.0000  5 Mg 3.11-3.17, 2 Au 3.18
Gd3 0.5573 0.0000 0.0000  5 Mg 3.11-3.17, 2 Au 3.18
Mg1 0.0000 0.0000 0.0000  6 Au 2.90, 3 Gd 3.17
Mg2 0.3333 0.6667 0.5000  3 Au 2.74
Mg3 0.6667 0.3333 0.5000  3 Au 2.74
Au1 0.0000 0.2483 0.5000  4 Mg 2.74-2.90
Au2 0.2483 0.0000 0.5000  4 Mg 2.74-2.90
Au3 0.7517 0.7517 0.5000  4 Mg 2.74-2.90

---

Record 10
## Na4CdSn2Pd (PBE-GGA)

Data for a geometry-optimized Na4CdSn2Pd structure.

SG: P-4m2, No. 115
Density in g cm⁻³: 5.1

Cell lengths 4.9734, 4.9734, 7.1931 Å; angles 90.00, 90.00, 90.00 degrees
Closest atoms and distances in Å follow each position.
Sites, in units of the cell vectors:
Na1 0.0000 0.0000 0.0000  4 Sn 3.00, 4 Na 3.01
Na2 0.0000 0.5000 0.2347  4 Na 3.01-3.13, 2 Pd 3.01, 2 Cd 3.13, 1 Sn 3.36
Na3 0.5000 0.0000 0.7653  2 Pd 3.01, 4 Na 3.01-3.13, 2 Cd 3.13, 1 Sn 3.36
Na4 0.5000 0.5000 0.5000  4 Na 3.13, 4 Sn 3.14
Cd1 0.0000 0.0000 0.5000  4 Na 3.13, 4 Sn 3.14
Sn1 0.0000 0.5000 0.7670  2 Pd 3.00, 4 Na 3.00-3.14, 2 Cd 3.14
Sn2 0.5000 0.0000 0.2330  4 Na 3.00-3.14, 2 Pd 3.00, 2 Cd 3.14
Pd1 0.5000 0.5000 0.0000  4 Sn 3.00, 4 Na 3.01

---

Record 11
## Hf5Si4 (PBE-GGA)

Data for a geometry-optimized Hf5Si4 structure.

SG: P6_3/mcm, No. 193
ΔE to the lowest computed polymorph in kJ/mol of atoms: 6.99
Magnetic moment in Bohr magnetons per cell: 0.00
Density in g cm⁻³: 10.5

Cell lengths 8.1271, 8.1271, 5.5821 Å; angles 90.00, 90.00, 120.00 degrees
Closest atoms and distances in Å follow each position.
Sites, in units of the cell vectors:
Hf1 0.0000 0.2717 0.2500  5 Si 2.61-2.83
Hf2 0.0000 0.7283 0.7500  5 Si 2.61-2.83
Hf3 0.2717 0.0000 0.2500  5 Si 2.61-2.83
Hf4 0.2717 0.2717 0.7500  5 Si 2.61-2.83
Hf5 0.3333 0.6667 0.0000  2 Hf 2.79, 6 Si 2.87
Hf6 0.3333 0.6667 0.5000  2 Hf 2.79, 6 Si 2.87
Hf7 0.6667 0.3333 0.0000  2 Hf 2.79, 6 Si 2.87
Hf8 0.6667 0.3333 0.5000  2 Hf 2.79, 6 Si 2.87
Hf9 0.7283 0.0000 0.7500  5 Si 2.61-2.83
Hf10 0.7283 0.7283 0.2500  5 Si 2.61-2.83
Si1 0.0000 0.0000 0.0000  6 Hf 2.61, 2 Si 2.79
Si2 0.0000 0.0000 0.5000  6 Hf 2.61, 2 Si 2.79
Si3 0.0000 0.3928 0.7500  9 Hf 2.73-2.96
Si4 0.0000 0.6072 0.2500  9 Hf 2.73-2.96
Si5 0.3928 0.0000 0.7500  9 Hf 2.73-2.96
Si6 0.3928 0.3928 0.2500  9 Hf 2.73-2.96
Si7 0.6072 0.0000 0.2500  9 Hf 2.73-2.96
Si8 0.6072 0.6072 0.7500  9 Hf 2.73-2.96

---

Record 12
## MgBe2Os2 (PBE-GGA)

Data for a geometry-optimized MgBe2Os2 structure.

SG: P4/mbm, No. 127
Magnetic moment in Bohr magnetons per cell: 0.00
Density in g cm⁻³: 12.2

Cell lengths 6.0337, 6.0337, 3.1701 Å; angles 90.00, 90.00, 90.00 degrees
Closest atoms and distances in Å follow each position.
Sites, in units of the cell vectors:
Mg1 0.0000 0.0000 0.0000  4 Be 2.40
Mg2 0.5000 0.5000 0.0000  4 Be 2.40
Be1 0.1200 0.3800 0.0000  1 Be 2.05
Be2 0.3800 0.8800 0.0000  1 Be 2.05
Be3 0.6200 0.1200 0.0000  1 Be 2.05
Be4 0.8800 0.6200 0.0000  1 Be 2.05
Os1 0.1716 0.6716 0.5000  6 Be 2.38-2.39
Os2 0.3284 0.1716 0.5000  6 Be 2.38-2.39
Os3 0.6716 0.8284 0.5000  6 Be 2.38-2.39
Os4 0.8284 0.3284 0.5000  6 Be 2.38-2.39

---

| no. | total energy (eV for the cell shown) |
| --- | --- |
| 1 | -19.92 |
| 2 | -61.31 |
| 3 | -24.27 |
| 4 | -11.59 |
| 5 | -65.83 |
| 6 | -25.88 |
| 7 | -35.57 |
| 8 | -57.02 |
| 9 | -32.33 |
| 10 | -21.13 |
| 11 | -156.12 |
| 12 | -64.77 |